Entry 1:
# Rb3SnPb2Se6 GGA-PBE optimized geometry
data_Rb3SnPb2Se6
_chemical_formula_sum 'Rb3 Sn1 Pb2 Se6'
_space_group_name_H-M_alt 'P 1'
_space_group_IT_number 1
_cell_length_a 7.511
_cell_length_b 7.511
_cell_length_c 8.414
_cell_angle_alpha 98.63
_cell_angle_beta 98.63
_cell_angle_gamma 119.99
loop_
_space_group_symop_operation_xyz
'x,y,z'
loop_
_atom_site_label
_atom_site_type_symbol
_atom_site_fract_x
_atom_site_fract_y
_atom_site_fract_z
_atom_site_occupancy
Pb1 Pb 0.335 0.665 0.000 1
Pb2 Pb 0.665 0.335 0.000 1
Se1 Se 0.767 0.767 0.200 1
Se2 Se 0.631 0.935 0.803 1
Se3 Se 0.233 0.233 0.800 1
Se4 Se 0.935 0.631 0.803 1
Se5 Se 0.065 0.369 0.197 1
Se6 Se 0.369 0.065 0.197 1
Rb1 Rb 0.176 0.824 0.500 1
Rb2 Rb 0.500 0.500 0.500 1
Rb3 Rb 0.824 0.176 0.500 1
Sn1 Sn 0.000 0.000 0.000 1
# - Raw formation energy: -8.6 eV/f.u.
# - Final energy: -43.875 eV per cell
# - Theoretical density: 5.35 g cm⁻³

=====

Entry 2:
# RbSnPb2Se4 GGA-PBE optimized geometry
data_RbSnPb2Se4
_chemical_formula_sum 'Rb2 Sn2 Pb4 Se8'
_space_group_name_H-M_alt 'P 1'
_space_group_IT_number 1
_cell_length_a 8.836
_cell_length_b 8.836
_cell_length_c 8.706
_cell_angle_alpha 119.52
_cell_angle_beta 119.52
_cell_angle_gamma 89.84
loop_
_space_group_symop_operation_xyz
'x,y,z'
loop_
_atom_site_label
_atom_site_type_symbol
_atom_site_fract_x
_atom_site_fract_y
_atom_site_fract_z
_atom_site_occupancy
Se1 Se 0.269 0.777 0.023 1
Se2 Se 0.277 0.769 0.523 1
Se3 Se 0.259 0.240 0.493 1
Se4 Se 0.740 0.759 0.993 1
Se5 Se 0.260 0.241 0.007 1
Se6 Se 0.741 0.760 0.507 1
Se7 Se 0.723 0.231 0.477 1
Se8 Se 0.731 0.223 0.977 1
Rb1 Rb 0.000 0.500 0.000 1
Rb2 Rb 0.000 0.500 0.500 1
Pb1 Pb 0.500 0.000 0.500 1
Pb2 Pb 0.500 0.000 0.000 1
Pb3 Pb 0.000 0.000 0.500 1
Pb4 Pb 0.500 0.500 0.000 1
Sn1 Sn 0.000 0.000 0.000 1
Sn2 Sn 0.500 0.500 0.500 1
# - Raw formation energy: -4.4 eV/f.u.
# - Final energy: -61.399 eV per cell
# - Theoretical density: 6.36 g cm⁻³

=====

Entry 3:
# RbTaPbSe4 GGA-PBE optimized geometry
data_RbTaPbSe4
_chemical_formula_sum 'Rb2 Ta2 Pb2 Se8'
_space_group_name_H-M_alt 'P 1'
_space_group_IT_number 1
_cell_length_a 7.240
_cell_length_b 7.409
_cell_length_c 9.405
_cell_angle_alpha 90.00
_cell_angle_beta 106.98
_cell_angle_gamma 90.00
loop_
_space_group_symop_operation_xyz
'x,y,z'
loop_
_atom_site_label
_atom_site_type_symbol
_atom_site_fract_x
_atom_site_fract_y
_atom_site_fract_z
_atom_site_occupancy
Se1 Se 0.583 0.250 0.427 1
Se2 Se 0.996 0.005 0.281 1
Se3 Se 0.996 0.495 0.281 1
Se4 Se 0.588 0.250 0.846 1
Se5 Se 0.412 0.750 0.154 1
Se6 Se 0.004 0.505 0.719 1
Se7 Se 0.417 0.750 0.573 1
Se8 Se 0.004 0.995 0.719 1
Ta1 Ta 0.787 0.250 0.679 1
Ta2 Ta 0.213 0.750 0.321 1
Rb1 Rb 0.738 0.750 0.934 1
Rb2 Rb 0.262 0.250 0.066 1
Pb1 Pb 0.755 0.750 0.440 1
Pb2 Pb 0.245 0.250 0.560 1
# - Raw formation energy: -5.9 eV/f.u.
# - Final energy: -72.676 eV per cell
# - Theoretical density: 5.43 g cm⁻³

=====

Entry 4:
# Rb3TaPb2Se6 GGA-PBE optimized geometry
data_Rb3TaPb2Se6
_chemical_formula_sum 'Rb3 Ta1 Pb2 Se6'
_space_group_name_H-M_alt 'P 1'
_space_group_IT_number 1
_cell_length_a 7.502
_cell_length_b 7.502
_cell_length_c 8.168
_cell_angle_alpha 98.89
_cell_angle_beta 98.89
_cell_angle_gamma 119.85
loop_
_space_group_symop_operation_xyz
'x,y,z'
loop_
_atom_site_label
_atom_site_type_symbol
_atom_site_fract_x
_atom_site_fract_y
_atom_site_fract_z
_atom_site_occupancy
Ta1 Ta 0.000 0.000 0.000 1
Se1 Se 0.646 0.936 0.808 1
Se2 Se 0.936 0.646 0.808 1
Se3 Se 0.778 0.778 0.195 1
Se4 Se 0.354 0.064 0.192 1
Se5 Se 0.064 0.354 0.192 1
Se6 Se 0.222 0.222 0.805 1
Rb1 Rb 0.823 0.177 0.500 1
Rb2 Rb 0.500 0.500 0.500 1
Rb3 Rb 0.177 0.823 0.500 1
Pb1 Pb 0.335 0.665 0.000 1
Pb2 Pb 0.665 0.335 0.000 1
# - Raw formation energy: -10.6 eV/f.u.
# - Final energy: -53.707 eV per cell
# - Theoretical density: 5.80 g cm⁻³

=====

Entry 5:
# Rb2TaPb2Se6 GGA-PBE optimized geometry
data_Rb2TaPb2Se6
_chemical_formula_sum 'Rb2 Ta1 Pb2 Se6'
_space_group_name_H-M_alt 'P 1'
_space_group_IT_number 1
_cell_length_a 7.208
_cell_length_b 7.208
_cell_length_c 8.489
_cell_angle_alpha 99.15
_cell_angle_beta 99.15
_cell_angle_gamma 119.02
loop_
_space_group_symop_operation_xyz
'x,y,z'
loop_
_atom_site_label
_atom_site_type_symbol
_atom_site_fract_x
_atom_site_fract_y
_atom_site_fract_z
_atom_site_occupancy
Ta1 Ta 0.000 0.000 0.500 1
Pb1 Pb 0.669 0.331 0.500 1
Pb2 Pb 0.331 0.669 0.500 1
Se1 Se 0.637 0.928 0.308 1
Se2 Se 0.222 0.222 0.313 1
Se3 Se 0.928 0.637 0.308 1
Se4 Se 0.778 0.778 0.687 1
Se5 Se 0.072 0.363 0.692 1
Se6 Se 0.363 0.072 0.692 1
Rb1 Rb 0.823 0.177 0.000 1
Rb2 Rb 0.177 0.823 0.000 1
# - Raw formation energy: -8.6 eV/f.u.
# - Final energy: -50.703 eV per cell
# - Theoretical density: 5.62 g cm⁻³

=====

Entry 6:
# Rb2TaPbSe4 GGA-PBE optimized geometry
data_Rb2TaPbSe4
_chemical_formula_sum 'Rb4 Ta2 Pb2 Se8'
_space_group_name_H-M_alt 'P 1'
_space_group_IT_number 1
_cell_length_a 6.790
_cell_length_b 7.979
_cell_length_c 13.413
_cell_angle_alpha 83.82
_cell_angle_beta 75.34
_cell_angle_gamma 64.82
loop_
_space_group_symop_operation_xyz
'x,y,z'
loop_
_atom_site_label
_atom_site_type_symbol
_atom_site_fract_x
_atom_site_fract_y
_atom_site_fract_z
_atom_site_occupancy
Se1 Se 0.530 0.212 0.112 1
Se2 Se 0.259 0.212 0.888 1
Se3 Se 0.220 0.288 0.388 1
Se4 Se 0.359 0.788 0.112 1
Se5 Se 0.491 0.288 0.612 1
Se6 Se 0.897 0.712 0.612 1
Se7 Se 0.853 0.788 0.888 1
Se8 Se 0.391 0.712 0.388 1
Pb1 Pb 0.000 0.000 0.000 1
Pb2 Pb 0.750 0.500 0.500 1
Rb1 Rb 0.816 0.000 0.368 1
Rb2 Rb 0.934 0.500 0.132 1
Rb3 Rb 0.184 0.000 0.632 1
Rb4 Rb 0.566 0.500 0.868 1
Ta1 Ta 0.250 0.500 0.500 1
Ta2 Ta 0.500 0.000 0.000 1
# - Raw formation energy: -5.7 eV/f.u.
# - Final energy: -74.333 eV per cell
# - Theoretical density: 4.57 g cm⁻³

=====

Entry 7:
# RbTbPbSe3 GGA-PBE optimized geometry
data_RbTbPbSe3
_chemical_formula_sum 'Rb2 Tb2 Pb2 Se6'
_space_group_name_H-M_alt 'P 1'
_space_group_IT_number 1
_cell_length_a 4.218
_cell_length_b 8.310
_cell_length_c 12.588
_cell_angle_alpha 111.54
_cell_angle_beta 90.00
_cell_angle_gamma 90.00
loop_
_space_group_symop_operation_xyz
'x,y,z'
loop_
_atom_site_label
_atom_site_type_symbol
_atom_site_fract_x
_atom_site_fract_y
_atom_site_fract_z
_atom_site_occupancy
Se1 Se 0.250 0.496 0.358 1
Se2 Se 0.750 0.333 0.052 1
Se3 Se 0.250 0.165 0.741 1
Se4 Se 0.750 0.504 0.642 1
Se5 Se 0.750 0.835 0.259 1
Se6 Se 0.250 0.667 0.948 1
Tb1 Tb 0.750 0.415 0.847 1
Tb2 Tb 0.250 0.585 0.153 1
Rb1 Rb 0.750 0.912 0.833 1
Rb2 Rb 0.250 0.088 0.167 1
Pb1 Pb 0.250 0.268 0.546 1
Pb2 Pb 0.750 0.732 0.454 1
# - Raw formation energy: -7.8 eV/f.u.
# - Final energy: -55.161 eV per cell
# - Theoretical density: 5.57 g cm⁻³

=====

Entry 8:
# RbTb2Pb3Se6 GGA-PBE optimized geometry
data_RbTb2Pb3Se6
_chemical_formula_sum 'Rb1 Tb2 Pb3 Se6'
_space_group_name_H-M_alt 'P 1'
_space_group_IT_number 1
_cell_length_a 4.164
_cell_length_b 9.486
_cell_length_c 9.633
_cell_angle_alpha 100.77
_cell_angle_beta 102.48
_cell_angle_gamma 90.00
loop_
_space_group_symop_operation_xyz
'x,y,z'
loop_
_atom_site_label
_atom_site_type_symbol
_atom_site_fract_x
_atom_site_fract_y
_atom_site_fract_z
_atom_site_occupancy
Pb1 Pb 0.840 0.170 0.679 1
Pb2 Pb 0.160 0.830 0.321 1
Pb3 Pb 0.500 0.500 0.000 1
Tb1 Tb 0.169 0.339 0.338 1
Tb2 Tb 0.831 0.661 0.662 1
Se1 Se 0.017 0.278 0.035 1
Se2 Se 0.983 0.722 0.965 1
Se3 Se 0.330 0.442 0.660 1
Se4 Se 0.670 0.558 0.340 1
Se5 Se 0.683 0.132 0.366 1
Se6 Se 0.317 0.868 0.634 1
Rb1 Rb 0.500 0.000 0.000 1
# - Raw formation energy: -13.1 eV/f.u.
# - Final energy: -55.328 eV per cell
# - Theoretical density: 6.83 g cm⁻³

=====

Entry 9:
# RbTePb2Se4 GGA-PBE optimized geometry
data_RbTePb2Se4
_chemical_formula_sum 'Rb2 Te2 Pb4 Se8'
_space_group_name_H-M_alt 'P 1'
_space_group_IT_number 1
_cell_length_a 8.725
_cell_length_b 8.725
_cell_length_c 8.718
_cell_angle_alpha 117.50
_cell_angle_beta 117.50
_cell_angle_gamma 89.66
loop_
_space_group_symop_operation_xyz
'x,y,z'
loop_
_atom_site_label
_atom_site_type_symbol
_atom_site_fract_x
_atom_site_fract_y
_atom_site_fract_z
_atom_site_occupancy
Pb1 Pb 0.500 0.500 0.000 1
Pb2 Pb 0.500 0.000 0.000 1
Pb3 Pb 0.000 0.000 0.500 1
Pb4 Pb 0.500 0.000 0.500 1
Se1 Se 0.289 0.757 0.534 1
Se2 Se 0.218 0.203 0.956 1
Se3 Se 0.743 0.211 0.966 1
Se4 Se 0.782 0.797 0.044 1
Se5 Se 0.257 0.789 0.034 1
Se6 Se 0.297 0.282 0.544 1
Se7 Se 0.703 0.718 0.456 1
Se8 Se 0.711 0.243 0.466 1
Rb1 Rb 0.000 0.500 0.000 1
Rb2 Rb 0.000 0.500 0.500 1
Te1 Te 0.500 0.500 0.500 1
Te2 Te 0.000 0.000 0.000 1
# - Raw formation energy: -3.4 eV/f.u.
# - Final energy: -57.652 eV per cell
# - Theoretical density: 6.22 g cm⁻³

=====

Entry 10:
# Rb2TePbSe GGA-PBE optimized geometry
data_Rb2TePbSe
_chemical_formula_sum 'Rb4 Te2 Pb2 Se2'
_space_group_name_H-M_alt 'P 1'
_space_group_IT_number 1
_cell_length_a 4.699
_cell_length_b 9.796
_cell_length_c 10.250
_cell_angle_alpha 102.38
_cell_angle_beta 90.00
_cell_angle_gamma 90.00
loop_
_space_group_symop_operation_xyz
'x,y,z'
loop_
_atom_site_label
_atom_site_type_symbol
_atom_site_fract_x
_atom_site_fract_y
_atom_site_fract_z
_atom_site_occupancy
Rb1 Rb 0.750 0.859 0.104 1
Rb2 Rb 0.750 0.703 0.598 1
Rb3 Rb 0.250 0.141 0.896 1
Rb4 Rb 0.250 0.297 0.402 1
Pb1 Pb 0.750 0.483 0.129 1
Pb2 Pb 0.250 0.517 0.871 1
Se1 Se 0.750 0.214 0.156 1
Se2 Se 0.250 0.786 0.844 1
Te1 Te 0.750 0.360 0.697 1
Te2 Te 0.250 0.640 0.303 1
# - Raw formation energy: -4.2 eV/f.u.
# - Final energy: -32.940 eV per cell
# - Theoretical density: 4.21 g cm⁻³